(1)
Here is a relaxed structure of PrNd2Th from Alexandria. Energies are from PBE.

abc: 3.658 3.658 12.183
angles: 81.37 81.37 60.00
Atoms (fractional coordinates):
Nd1 0.084 0.084 0.747
Th1 0.500 0.500 0.499
Nd2 0.248 0.248 0.255
Pr1 0.667 0.667 0.999

Values from the calculation:
* DOS(E_F): 6.6 states/eV per cell
* ΔH_f (0 K): 1.10 kcal/mol of atoms
* electronic total energy: -5.386 eV/atom
* total moment: 0.0 μB per cell

---

(2)
Here is a relaxed structure of SnRh2O from Alexandria. Energies are from PBE.

abc: 4.823 4.823 7.019
angles: 69.90 69.90 90.00
Atoms (fractional coordinates):
Rh1 0.875 0.738 0.750
Sn1 0.000 0.000 0.000
Rh2 0.488 0.125 0.250
O1 0.500 0.500 0.000
O2 0.250 0.750 0.500
Sn2 0.750 0.250 0.500
Rh3 0.262 0.625 0.250
Rh4 0.375 0.512 0.750

Values from the calculation:
* DOS(E_F): 3.3 states/eV per cell
* electronic total energy: -6.100 eV/atom
* total moment: 0.0 μB per cell
* raw formation energy: -184.2 meV/atom

---

(3)
Here is a relaxed structure of Sc3ZnW from Alexandria. Energies are from PBE.

abc: 5.075 5.075 5.075
angles: 90.00 90.00 90.00
Atoms (fractional coordinates):
Sc1 0.000 0.500 0.000
Zn1 0.500 0.500 0.500
W1 0.000 0.000 0.000
Sc2 0.500 0.000 0.000
Sc3 0.000 0.000 0.500

Values from the calculation:
* DOS(E_F): 7.2 states/eV per cell
* ΔH_f (0 K): 15.19 kcal/mol of atoms
* electronic total energy: -5.986 eV/atom
* total moment: 0.0 μB per cell

---

(4)
Here is a relaxed structure of Ba5ReH2N4 from Alexandria. Energies are from PBE.

abc: 6.623 6.146 7.948
angles: 90.00 90.00 122.60
Atoms (fractional coordinates):
N1 0.585 0.000 0.184
Re1 0.409 0.000 0.000
Ba1 0.723 0.642 0.232
N2 0.394 0.294 0.000
N3 0.100 0.706 0.000
Ba2 0.723 0.642 0.768
H1 0.898 0.500 0.500
Ba3 0.081 0.358 0.232
Ba4 0.427 0.000 0.500
H2 0.399 0.500 0.500
N4 0.585 0.000 0.816
Ba5 0.081 0.358 0.768

Values from the calculation:
* DOS(E_F): 5.9 states/eV per cell
* electronic total energy: -5.642 eV/atom
* total moment: 1.0 μB per cell